Record 1
# TmBiAu (PBE, optimized geometry)
# density	12.4	Mg/m³
# volume	25.61	Å³/atom
# density of states at the Fermi level	0.52	states/eV/atom
# DFT total energy	-4.443	eV/atom
data_TmBiAu
_chemical_formula_sum 'Tm2 Bi2 Au2'
_cell_length_a 3.628
_cell_length_b 3.628
_cell_length_c 11.676
_cell_angle_alpha 90.00
_cell_angle_beta 90.00
_cell_angle_gamma 90.00
_symmetry_space_group_name_H-M 'I 4 m m'
_symmetry_Int_Tables_number 107
_symmetry_space_group_name_Hall 'I 4 -2'
loop_
_atom_site_label
_atom_site_fract_x
_atom_site_fract_y
_atom_site_fract_z
Tm1 0.000 0.000 0.000
Bi1 0.000 0.000 0.299
Au1 0.000 0.000 0.623

=====

Record 2
# Tm4BiAu (PBE, optimized geometry)
# density	11.0	Mg/m³
# volume	27.25	Å³/atom
# E above lowest polymorph	0.00	eV per formula unit
# density of states at the Fermi level	1.07	states/eV/atom
# DFT total energy	-4.740	eV/atom
data_Tm4BiAu
_chemical_formula_sum 'Tm16 Bi4 Au4'
_cell_length_a 8.292
_cell_length_b 4.050
_cell_length_c 19.476
_cell_angle_alpha 90.00
_cell_angle_beta 90.00
_cell_angle_gamma 90.00
_symmetry_space_group_name_H-M 'P n m a'
_symmetry_Int_Tables_number 62
_symmetry_space_group_name_Hall '-P 2ac 2n'
loop_
_atom_site_label
_atom_site_fract_x
_atom_site_fract_y
_atom_site_fract_z
Tm1 0.015 0.250 0.067
Tm2 0.044 0.750 0.213
Tm3 0.136 0.750 0.656
Tm4 0.143 0.750 0.446
Bi1 0.242 0.250 0.315
Au1 0.228 0.250 0.554

=====

Record 3
# Tm4BiAu (PBE, optimized geometry)
# density	10.1	Mg/m³
# volume	29.62	Å³/atom
# E above lowest polymorph	1.00	eV per formula unit
# density of states at the Fermi level	0.95	states/eV/atom
# DFT total energy	-4.574	eV/atom
data_Tm4BiAu
_chemical_formula_sum 'Tm16 Bi4 Au4'
_cell_length_a 5.511
_cell_length_b 20.309
_cell_length_c 6.351
_cell_angle_alpha 90.00
_cell_angle_beta 90.00
_cell_angle_gamma 90.00
_symmetry_space_group_name_H-M 'C m c m'
_symmetry_Int_Tables_number 63
_symmetry_space_group_name_Hall '-C 2c 2'
loop_
_atom_site_label
_atom_site_fract_x
_atom_site_fract_y
_atom_site_fract_z
Tm1 0.000 0.054 0.250
Tm2 0.000 0.203 0.001
Tm3 0.000 0.383 0.250
Bi1 0.000 0.349 0.750
Au1 0.000 0.082 0.750

=====

Record 4
# TmBiAu (PBE, optimized geometry)
# density	12.2	Mg/m³
# volume	26.06	Å³/atom
# density of states at the Fermi level	0.33	states/eV/atom
# DFT total energy	-4.451	eV/atom
data_TmBiAu
_chemical_formula_sum 'Tm4 Bi4 Au4'
_cell_length_a 6.469
_cell_length_b 6.456
_cell_length_c 7.580
_cell_angle_alpha 90.00
_cell_angle_beta 98.99
_cell_angle_gamma 90.00
_symmetry_space_group_name_H-M 'C 1 2/m 1'
_symmetry_Int_Tables_number 12
_symmetry_space_group_name_Hall '-C 2y'
loop_
_atom_site_label
_atom_site_fract_x
_atom_site_fract_y
_atom_site_fract_z
Tm1 0.207 0.000 0.248
Bi1 0.193 0.500 0.178
Au1 0.000 0.245 0.500

=====

Record 5
# Tm3BiAu (PBE, optimized geometry)
# density	10.9	Mg/m³
# volume	27.79	Å³/atom
# density of states at the Fermi level	0.93	states/eV/atom
# DFT total energy	-4.722	eV/atom
data_Tm3BiAu
_chemical_formula_sum 'Tm12 Bi4 Au4'
_cell_length_a 15.653
_cell_length_b 4.180
_cell_length_c 8.498
_cell_angle_alpha 90.00
_cell_angle_beta 91.52
_cell_angle_gamma 90.00
_symmetry_space_group_name_H-M 'C 1 2/m 1'
_symmetry_Int_Tables_number 12
_symmetry_space_group_name_Hall '-C 2y'
loop_
_atom_site_label
_atom_site_fract_x
_atom_site_fract_y
_atom_site_fract_z
Tm1 0.041 0.000 0.212
Tm2 0.102 0.500 0.550
Tm3 0.250 0.000 0.798
Bi1 0.110 0.500 0.931
Au1 0.199 0.000 0.418

=====

Record 6
# Tm5BiAu (PBE, optimized geometry)
# density	10.1	Mg/m³
# volume	29.38	Å³/atom
# density of states at the Fermi level	1.11	states/eV/atom
# DFT total energy	-4.485	eV/atom
data_Tm5BiAu
_chemical_formula_sum 'Tm20 Bi4 Au4'
_cell_length_a 11.427
_cell_length_b 6.535
_cell_length_c 11.408
_cell_angle_alpha 90.00
_cell_angle_beta 105.04
_cell_angle_gamma 90.00
_symmetry_space_group_name_H-M 'C 1 2/c 1'
_symmetry_Int_Tables_number 15
_symmetry_space_group_name_Hall '-C 2yc'
loop_
_atom_site_label
_atom_site_fract_x
_atom_site_fract_y
_atom_site_fract_z
Tm1 0.000 0.072 0.250
Tm2 0.136 0.362 0.051
Tm3 0.230 0.147 0.645
Bi1 0.000 0.426 0.750
Au1 0.000 0.000 0.000

=====

Record 7
# Tm5BiAu2 (PBE, optimized geometry)
# density	11.5	Mg/m³
# volume	26.20	Å³/atom
# density of states at the Fermi level	0.94	states/eV/atom
# DFT total energy	-4.795	eV/atom
data_Tm5BiAu2
_chemical_formula_sum 'Tm20 Bi4 Au8'
_cell_length_a 8.036
_cell_length_b 8.036
_cell_length_c 12.985
_cell_angle_alpha 90.00
_cell_angle_beta 90.00
_cell_angle_gamma 90.00
_symmetry_space_group_name_H-M 'I 4/m c m'
_symmetry_Int_Tables_number 140
_symmetry_space_group_name_Hall '-I 4 2c'
loop_
_atom_site_label
_atom_site_fract_x
_atom_site_fract_y
_atom_site_fract_z
Tm1 0.000 0.000 0.000
Tm2 0.153 0.347 0.141
Bi1 0.000 0.000 0.250
Au1 0.139 0.361 0.500

=====

Record 8
# UBiAu (PBE, optimized geometry)
# density	15.2	Mg/m³
# volume	23.44	Å³/atom
# density of states at the Fermi level	1.63	states/eV/atom
# DFT total energy	-6.072	eV/atom
data_UBiAu
_chemical_formula_sum 'U4 Bi4 Au4'
_cell_length_a 5.653
_cell_length_b 5.331
_cell_length_c 9.334
_cell_angle_alpha 90.00
_cell_angle_beta 90.18
_cell_angle_gamma 90.00
_symmetry_space_group_name_H-M 'C 1 2/m 1'
_symmetry_Int_Tables_number 12
_symmetry_space_group_name_Hall '-C 2y'
loop_
_atom_site_label
_atom_site_fract_x
_atom_site_fract_y
_atom_site_fract_z
U1 0.204 0.000 0.052
Bi1 0.199 0.500 0.275
Au1 0.208 0.000 0.407

=====

Record 9
# U2BiAu (PBE, optimized geometry)
# density	15.5	Mg/m³
# volume	23.61	Å³/atom
# density of states at the Fermi level	2.55	states/eV/atom
# DFT total energy	-7.339	eV/atom
data_U2BiAu
_chemical_formula_sum 'U2 Bi1 Au1'
_cell_length_a 4.340
_cell_length_b 4.340
_cell_length_c 5.014
_cell_angle_alpha 90.00
_cell_angle_beta 90.00
_cell_angle_gamma 90.00
_symmetry_space_group_name_H-M 'P 4/m m m'
_symmetry_Int_Tables_number 123
_symmetry_space_group_name_Hall '-P 4 2'
loop_
_atom_site_label
_atom_site_fract_x
_atom_site_fract_y
_atom_site_fract_z
U1 0.000 0.500 0.000
Bi1 0.000 0.000 0.500
Au1 0.500 0.500 0.500

=====

Record 10
# U2BiAu8 (PBE, optimized geometry)
# density	16.0	Mg/m³
# volume	21.27	Å³/atom
# density of states at the Fermi level	1.34	states/eV/atom
# DFT total energy	-4.867	eV/atom
data_U2BiAu8
_chemical_formula_sum 'U4 Bi2 Au16'
_cell_length_a 14.820
_cell_length_b 4.776
_cell_length_c 7.139
_cell_angle_alpha 90.00
_cell_angle_beta 112.18
_cell_angle_gamma 90.00
_symmetry_space_group_name_H-M 'C 1 2/m 1'
_symmetry_Int_Tables_number 12
_symmetry_space_group_name_Hall '-C 2y'
loop_
_atom_site_label
_atom_site_fract_x
_atom_site_fract_y
_atom_site_fract_z
U1 0.217 0.000 0.147
Bi1 0.000 0.500 0.500
Au1 0.026 0.000 0.216
Au2 0.093 0.500 0.956
Au3 0.147 0.000 0.674
Au4 0.175 0.500 0.392

=====

Record 11
# UBiAu4 (PBE, optimized geometry)
# density	15.6	Mg/m³
# volume	21.88	Å³/atom
# density of states at the Fermi level	1.57	states/eV/atom
# DFT total energy	-4.779	eV/atom
data_UBiAu4
_chemical_formula_sum 'U4 Bi4 Au16'
_cell_length_a 8.067
_cell_length_b 8.067
_cell_length_c 8.067
_cell_angle_alpha 90.00
_cell_angle_beta 90.00
_cell_angle_gamma 90.00
_symmetry_space_group_name_H-M 'F -4 3 m'
_symmetry_Int_Tables_number 216
_symmetry_space_group_name_Hall 'F -4 2 3'
loop_
_atom_site_label
_atom_site_fract_x
_atom_site_fract_y
_atom_site_fract_z
U1 0.000 0.000 0.000
Bi1 0.250 0.250 0.250
Au1 0.125 0.125 0.625

=====

Record 12
# UBi8Au2 (PBE, optimized geometry)
# density	10.8	Mg/m³
# volume	32.14	Å³/atom
# density of states at the Fermi level	1.06	states/eV/atom
# DFT total energy	-4.314	eV/atom
data_UBi8Au2
_chemical_formula_sum 'U2 Bi16 Au4'
_cell_length_a 10.548
_cell_length_b 9.294
_cell_length_c 8.817
_cell_angle_alpha 90.00
_cell_angle_beta 125.12
_cell_angle_gamma 90.00
_symmetry_space_group_name_H-M 'C 1 2/m 1'
_symmetry_Int_Tables_number 12
_symmetry_space_group_name_Hall '-C 2y'
loop_
_atom_site_label
_atom_site_fract_x
_atom_site_fract_y
_atom_site_fract_z
U1 0.000 0.000 0.000
Bi1 0.104 0.284 0.254
Bi2 0.128 0.500 0.724
Bi3 0.177 0.000 0.807
Au1 0.167 0.000 0.450